Material: SrSmAu10
Method: DFT, PBE-GGA
State: relaxed

a = 4.7360 Å, b = 5.5909 Å, c = 9.7840 Å
α = 90.00°, β = 90.00°, γ = 90.00°
Fractional coordinates of all 12 atoms:
Sr (0.0000, 0.0000, 0.0000)
Sm (0.0000, 0.5000, 0.5000)
Au (0.0000, 0.0000, 0.3397)
Au (0.0000, 0.0000, 0.6603)
Au (0.0000, 0.5000, 0.1736)
Au (0.0000, 0.5000, 0.8264)
Au (0.5000, 0.0000, 0.5000)
Au (0.5000, 0.2519, 0.2535)
Au (0.5000, 0.2519, 0.7465)
Au (0.5000, 0.5000, 0.0000)
Au (0.5000, 0.7481, 0.2535)
Au (0.5000, 0.7481, 0.7465)

D(E_F) = 0.400 states/eV/atom
electronic total energy = -3.677 eV per atom
calculated volume = 259.07 Å³ per cell
formation energy = -4.94 eV per formula unit

***

Material: SrSm2Au
Method: DFT, PBE-GGA
State: relaxed

a = 10.5737 Å, b = 10.5737 Å, c = 10.5737 Å
α = 22.15°, β = 22.15°, γ = 22.15°
Fractional coordinates of all 4 atoms:
Sr (0.0000, 0.0000, 0.0000)
Sm (0.5575, 0.5575, 0.5575)
Sm (0.7728, 0.7728, 0.7728)
Au (0.1649, 0.1649, 0.1649)

excess energy over the best structure of this formula in the dataset = 0.23 eV per formula unit
D(E_F) = 1.316 states/eV/atom
electronic total energy = -3.824 eV per atom
calculated volume = 147.41 Å³ per cell
formation energy = -0.90 eV per formula unit

***

Material: SrSm2Au
Method: DFT, PBE-GGA
State: relaxed

a = 10.7191 Å, b = 10.7191 Å, c = 10.7191 Å
α = 21.62°, β = 21.62°, γ = 21.62°
Fractional coordinates of all 4 atoms:
Sr (0.0000, 0.0000, 0.0000)
Sm (0.2262, 0.2262, 0.2262)
Sm (0.7738, 0.7738, 0.7738)
Au (0.5000, 0.5000, 0.5000)

excess energy over the best structure of this formula in the dataset = 0.26 eV per formula unit
D(E_F) = 1.295 states/eV/atom
electronic total energy = -3.817 eV per atom
calculated volume = 146.55 Å³ per cell
formation energy = -0.87 eV per formula unit

***

Material: SrSm2Au
Method: DFT, PBE-GGA
State: relaxed

a = 3.7433 Å, b = 3.7433 Å, c = 9.7641 Å
α = 90.00°, β = 90.00°, γ = 90.00°
Fractional coordinates of all 4 atoms:
Sr (0.0000, 0.0000, 0.0000)
Sm (0.5000, 0.5000, 0.3252)
Sm (0.5000, 0.5000, 0.6748)
Au (0.0000, 0.0000, 0.5000)

excess energy over the best structure of this formula in the dataset = 0.00 eV per formula unit
D(E_F) = 1.453 states/eV/atom
electronic total energy = -3.881 eV per atom
calculated volume = 136.82 Å³ per cell
formation energy = -1.13 eV per formula unit

***

Material: SrSmTe3Au
Method: DFT, PBE-GGA
State: relaxed

a = 8.8107 Å, b = 4.4247 Å, c = 10.3195 Å
α = 90.00°, β = 103.64°, γ = 90.00°
Fractional coordinates of all 12 atoms:
Sr (0.2032, 0.2500, 0.2700)
Sr (0.7968, 0.7500, 0.7300)
Sm (0.3176, 0.7500, 0.8295)
Sm (0.6824, 0.2500, 0.1705)
Te (0.0765, 0.2500, 0.8613)
Te (0.2644, 0.7500, 0.5228)
Te (0.4236, 0.7500, 0.1501)
Te (0.5764, 0.2500, 0.8499)
Te (0.7356, 0.2500, 0.4772)
Te (0.9235, 0.7500, 0.1387)
Au (0.0912, 0.2500, 0.5930)
Au (0.9088, 0.7500, 0.4070)

electronic total energy = -4.384 eV per atom
uncorrected formation energy = -1200 meV/atom
calculated volume = 390.95 Å³ per cell

***

Material: SrSmZn2Au2
Method: DFT, PBE-GGA
State: relaxed

a = 4.6113 Å, b = 4.6113 Å, c = 7.7967 Å
α = 90.00°, β = 90.00°, γ = 120.00°
Fractional coordinates of all 6 atoms:
Sr (0.0000, 0.0000, 0.0000)
Sm (0.0000, 0.0000, 0.5000)
Zn (0.3333, 0.6667, 0.7202)
Zn (0.6667, 0.3333, 0.2798)
Au (0.3333, 0.6667, 0.2828)
Au (0.6667, 0.3333, 0.7172)

D(E_F) = 0.432 states/eV/atom
electronic total energy = -3.214 eV per atom
calculated volume = 143.58 Å³ per cell
formation energy = -3.78 eV per formula unit

***

Material: Tb4SmAu2
Method: DFT, PBE-GGA
State: relaxed

a = 10.7104 Å, b = 10.7104 Å, c = 10.7104 Å
α = 26.50°, β = 26.50°, γ = 26.50°
Fractional coordinates of all 7 atoms:
Tb (0.1026, 0.1026, 0.1026)
Tb (0.2989, 0.2989, 0.2989)
Tb (0.7011, 0.7011, 0.7011)
Tb (0.8974, 0.8974, 0.8974)
Sm (0.5000, 0.5000, 0.5000)
Au (0.3979, 0.3979, 0.3979)
Au (0.6021, 0.6021, 0.6021)

D(E_F) = 1.402 states/eV/atom
electronic total energy = -4.503 eV per atom
calculated volume = 215.56 Å³ per cell
formation energy = -1.73 eV per formula unit

***

Material: TbSm2Au3
Method: DFT, PBE-GGA
State: relaxed

a = 3.6349 Å, b = 3.6349 Å, c = 11.0668 Å
α = 90.00°, β = 90.00°, γ = 90.00°
Fractional coordinates of all 6 atoms:
Tb (0.0000, 0.0000, 0.0000)
Sm (0.0000, 0.0000, 0.3316)
Sm (0.0000, 0.0000, 0.6684)
Au (0.5000, 0.5000, 0.1598)
Au (0.5000, 0.5000, 0.5000)
Au (0.5000, 0.5000, 0.8402)

excess energy over the best structure of this formula in the dataset = 0.00 eV per formula unit
D(E_F) = 0.442 states/eV/atom
electronic total energy = -4.801 eV per atom
calculated volume = 146.22 Å³ per cell
formation energy = -4.91 eV per formula unit

***

Material: TbSmAu
Method: DFT, PBE-GGA
State: relaxed

a = 8.1801 Å, b = 8.1801 Å, c = 8.1801 Å
α = 35.85°, β = 35.85°, γ = 35.85°
Fractional coordinates of all 6 atoms:
Tb (0.0000, 0.0000, 0.0000)
Tb (0.1617, 0.1617, 0.1617)
Sm (0.5786, 0.5786, 0.5786)
Sm (0.7402, 0.7402, 0.7402)
Au (0.2974, 0.2974, 0.2974)
Au (0.4450, 0.4450, 0.4450)

excess energy over the best structure of this formula in the dataset = 0.51 eV per formula unit
D(E_F) = 0.887 states/eV/atom
electronic total energy = -4.645 eV per atom
calculated volume = 167.85 Å³ per cell
formation energy = -1.31 eV per formula unit

***

Material: Tb2SmAu6
Method: DFT, PBE-GGA
State: relaxed

a = 8.5801 Å, b = 8.5801 Å, c = 5.2636 Å
α = 98.70°, β = 98.70°, γ = 144.05°
Fractional coordinates of all 9 atoms:
Tb (0.1655, 0.8345, 0.0000)
Tb (0.8345, 0.1655, 0.0000)
Sm (0.5000, 0.5000, 0.5000)
Au (0.1562, 0.1562, 0.8276)
Au (0.1694, 0.5036, 0.6690)
Au (0.4964, 0.8306, 0.3310)
Au (0.5036, 0.1694, 0.6690)
Au (0.8306, 0.4964, 0.3310)
Au (0.8438, 0.8438, 0.1724)

D(E_F) = 0.558 states/eV/atom
electronic total energy = -4.512 eV per atom
calculated volume = 198.33 Å³ per cell
formation energy = -6.96 eV per formula unit

***

Material: Tb4SmAu5
Method: DFT, PBE-GGA
State: relaxed

a = 3.5983 Å, b = 3.5983 Å, c = 18.4125 Å
α = 90.00°, β = 90.00°, γ = 90.00°
Fractional coordinates of all 10 atoms:
Tb (0.0000, 0.0000, 0.0995)
Tb (0.0000, 0.0000, 0.2982)
Tb (0.0000, 0.0000, 0.7018)
Tb (0.0000, 0.0000, 0.9005)
Sm (0.0000, 0.0000, 0.5000)
Au (0.5000, 0.5000, 0.0000)
Au (0.5000, 0.5000, 0.1986)
Au (0.5000, 0.5000, 0.3951)
Au (0.5000, 0.5000, 0.6049)
Au (0.5000, 0.5000, 0.8014)

D(E_F) = 0.411 states/eV/atom
electronic total energy = -4.805 eV per atom
calculated volume = 238.39 Å³ per cell
formation energy = -8.42 eV per formula unit

***

Material: TbSmAu
Method: DFT, PBE-GGA
State: relaxed

a = 4.9436 Å, b = 4.9436 Å, c = 3.8778 Å
α = 90.00°, β = 90.00°, γ = 120.00°
Fractional coordinates of all 3 atoms:
Tb (0.0000, 0.0000, 0.0000)
Sm (0.6667, 0.3333, 0.4622)
Au (0.3333, 0.6667, 0.7596)

excess energy over the best structure of this formula in the dataset = 0.62 eV per formula unit
D(E_F) = 0.687 states/eV/atom
electronic total energy = -4.607 eV per atom
calculated volume = 82.07 Å³ per cell
formation energy = -1.19 eV per formula unit